Entry 1:
Density functional theory data (PBE-GGA) for crystalline Li2ZrSn at its relaxed geometry.

As for the formation energy from the elements: -0.1 eV per formula unit. Its space-group type is I-42d. As for the crystal system: tetragonal.

abc: 4.085 4.085 11.059
angles: 79.36 79.36 90.00
Positions (direct):
Zr: 0.500 0.500 0.000
Zr: 0.250 0.750 0.500
Li: 0.106 0.625 0.250
Li: 0.375 0.356 0.750
Li: 0.644 0.125 0.250
Li: 0.875 0.894 0.750
Sn: 0.000 0.000 0.000
Sn: 0.750 0.250 0.500


Entry 2:
Density functional theory data (PBE-GGA) for crystalline ScTaTl at its relaxed geometry.

As for the formation energy from the elements: 1.1 eV per formula unit. Its space-group type is P-6m2. As for the crystal system: hexagonal.

abc: 4.988 4.988 3.044
angles: 90.00 90.00 120.00
Positions (direct):
Tl: 0.667 0.333 0.500
Ta: 0.333 0.667 0.500
Sc: 0.000 0.000 0.000


Entry 3:
Density functional theory data (PBE-GGA) for crystalline CePr2Y6 at its relaxed geometry.

As for the formation energy from the elements: 1.1 eV per formula unit. Its space-group type is C2/c. As for the crystal system: monoclinic.

abc: 6.085 10.216 10.216
angles: 70.63 83.60 83.60
Positions (direct):
Y: 0.976 0.424 0.685
Y: 0.806 0.010 0.773
Y: 0.639 0.082 0.348
Y: 0.361 0.918 0.652
Y: 0.194 0.990 0.227
Y: 0.476 0.685 0.424
Y: 0.139 0.348 0.082
Y: 0.024 0.576 0.315
Y: 0.861 0.652 0.918
Y: 0.306 0.773 0.010
Y: 0.694 0.227 0.990
Y: 0.524 0.315 0.576
Ce: 0.750 0.873 0.127
Ce: 0.250 0.127 0.873
Pr: 0.075 0.217 0.445
Pr: 0.425 0.555 0.783
Pr: 0.925 0.783 0.555
Pr: 0.575 0.445 0.217


Entry 4:
Density functional theory data (PBE-GGA) for crystalline Tl5GeAu6 at its relaxed geometry.

As for the formation energy from the elements: 0.1 eV per formula unit. Its space-group type is C2/m. As for the crystal system: monoclinic.

abc: 6.793 7.058 7.573
angles: 62.23 79.35 66.64
Positions (direct):
Tl: 0.500 0.797 0.406
Tl: 0.500 0.203 0.594
Tl: 0.000 0.359 0.281
Tl: 0.000 0.641 0.719
Tl: 0.500 0.500 0.000
Ge: 0.000 0.000 0.000
Au: 0.293 0.173 0.000
Au: 0.796 0.359 0.684
Au: 0.796 0.043 0.316
Au: 0.204 0.957 0.684
Au: 0.204 0.641 0.316
Au: 0.707 0.827 0.000


Entry 5:
Density functional theory data (PBE-GGA) for crystalline Mn2FeCuH at its relaxed geometry.

The raw total energy comes out at -0.246 hartree per atom. Its space-group type is P4/mmm. As for the crystal system: tetragonal.

abc: 3.700 3.700 3.577
angles: 90.00 90.00 90.00
Positions (direct):
Mn: 0.000 0.500 0.000
Mn: 0.500 0.000 0.000
Cu: 0.500 0.500 0.500
H: 0.000 0.000 0.000
Fe: 0.000 0.000 0.500


Entry 6:
Density functional theory data (PBE-GGA) for crystalline BaCrFe at its relaxed geometry.

As for the formation energy from the elements: 2.3 eV per formula unit. Its space-group type is I4mm. As for the crystal system: tetragonal.

abc: 6.514 6.514 3.369
angles: 75.01 75.01 29.95
Positions (direct):
Ba: 0.004 0.004 0.996
Fe: 0.724 0.724 0.276
Cr: 0.272 0.272 0.728


Entry 7:
Density functional theory data (PBE-GGA) for crystalline Tm5PaAs6 at its relaxed geometry.

As for the formation energy from the elements: -17.2 eV per formula unit. Its space-group type is C2/m. As for the crystal system: monoclinic.

abc: 7.037 7.037 7.035
angles: 99.58 99.58 120.01
Positions (direct):
As: 0.917 0.585 0.750
As: 0.083 0.415 0.250
As: 0.585 0.917 0.750
As: 0.751 0.751 0.249
As: 0.249 0.249 0.751
As: 0.415 0.083 0.250
Tm: 0.833 0.167 0.500
Tm: 0.500 0.500 0.500
Tm: 0.667 0.333 0.000
Tm: 0.167 0.833 0.500
Tm: 0.333 0.667 0.000
Pa: 0.000 0.000 0.000


Entry 8:
Density functional theory data (PBE-GGA) for crystalline Sc4GaCoRu2 at its relaxed geometry.

As for the formation energy from the elements: -4.4 eV per formula unit. Its space-group type is R-3m. As for the crystal system: trigonal.

abc: 4.554 4.554 7.908
angles: 73.26 73.26 60.00
Positions (direct):
Ru: 0.749 0.749 0.754
Ru: 0.251 0.251 0.246
Sc: 0.129 0.129 0.614
Sc: 0.871 0.871 0.386
Sc: 0.380 0.380 0.859
Sc: 0.620 0.620 0.141
Ga: 0.000 0.000 0.000
Co: 0.500 0.500 0.500


Entry 9:
Density functional theory data (PBE-GGA) for crystalline LiAc3In2 at its relaxed geometry.

As for the formation energy from the elements: -1.6 eV per formula unit. Its space-group type is P4/mmm. As for the crystal system: tetragonal.

abc: 4.031 4.031 12.656
angles: 90.00 90.00 90.00
Positions (direct):
Ac: 0.000 0.000 0.666
Ac: 0.000 0.000 0.334
Ac: 0.000 0.000 0.000
Li: 0.500 0.500 0.500
In: 0.500 0.500 0.174
In: 0.500 0.500 0.826


Entry 10:
Density functional theory data (PBE-GGA) for crystalline BaLiI3 at its relaxed geometry.

Its space-group type is C2/c. As for the crystal system: monoclinic. The calculation puts the formation energy from raw total energies at -1533 meV/atom.

abc: 8.701 10.375 10.375
angles: 79.02 77.16 77.16
Positions (direct):
Ba: 0.250 0.904 0.096
Ba: 0.250 0.342 0.658
Ba: 0.750 0.096 0.904
Ba: 0.750 0.658 0.342
I: 0.848 0.005 0.227
I: 0.499 0.577 0.677
I: 0.501 0.423 0.323
I: 0.896 0.374 0.903
I: 0.104 0.626 0.097
I: 0.604 0.097 0.626
I: 0.348 0.227 0.005
I: 0.652 0.773 0.995
I: 0.396 0.903 0.374
I: 0.999 0.677 0.577
I: 0.152 0.995 0.773
I: 0.001 0.323 0.423
Li: 0.749 0.615 0.788
Li: 0.251 0.385 0.212
Li: 0.249 0.788 0.615
Li: 0.751 0.212 0.385


Entry 11:
Density functional theory data (PBE-GGA) for crystalline AcTl4Hg15 at its relaxed geometry.

As for the formation energy from the elements: -2.0 eV per formula unit. Its space-group type is P4/mmm. As for the crystal system: tetragonal.

abc: 5.035 5.035 22.301
angles: 90.00 90.00 90.00
Positions (direct):
Hg: 0.500 0.500 0.399
Hg: 0.000 0.500 0.698
Hg: 0.500 0.000 0.104
Hg: 0.500 0.000 0.500
Hg: 0.500 0.000 0.698
Hg: 0.500 0.500 0.000
Hg: 0.000 0.500 0.302
Hg: 0.500 0.500 0.801
Hg: 0.500 0.000 0.896
Hg: 0.000 0.500 0.500
Hg: 0.500 0.500 0.199
Hg: 0.000 0.500 0.896
Hg: 0.500 0.000 0.302
Hg: 0.500 0.500 0.601
Hg: 0.000 0.500 0.104
Tl: 0.000 0.000 0.207
Tl: 0.000 0.000 0.793
Tl: 0.000 0.000 0.401
Tl: 0.000 0.000 0.599
Ac: 0.000 0.000 0.000


Entry 12:
Density functional theory data (PBE-GGA) for crystalline CdAgSb2 at its relaxed geometry.

Its space-group type is Fm-3m. As for the crystal system: cubic. The calculation puts the formation energy from raw total energies at 226 meV/atom.

abc: 5.164 5.164 5.164
angles: 60.00 60.00 60.00
Positions (direct):
Ag: 0.000 0.000 0.000
Cd: 0.500 0.500 0.500
Sb: 0.750 0.750 0.750
Sb: 0.250 0.250 0.250